[1]
DFT (GGA-PBE) results for LiMg5Hg4 after structural relaxation.

a b c (Å): 3.508 3.508 17.071
angles (deg): 90.00 90.00 90.00
Positions (direct):
Li 0.000 0.000 0.000
Mg 0.500 0.500 0.097
Mg 0.500 0.500 0.297
Mg 0.500 0.500 0.500
Mg 0.500 0.500 0.703
Mg 0.500 0.500 0.903
Hg 0.000 0.000 0.191
Hg 0.000 0.000 0.398
Hg 0.000 0.000 0.602
Hg 0.000 0.000 0.809

Results
Size of the total moment: 0.00 μB per formula unit
Electronic total energy: -1.3118 eV/atom
Formation energy from the elements: -19.53 kJ per mole of atoms
Space group: No. 123
Volume: 210.14 Å³/cell

***

[2]
DFT (GGA-PBE) results for Li7Mg2Hg3 after structural relaxation.

a b c (Å): 4.976 3.171 14.792
angles (deg): 90.00 94.11 90.00
Positions (direct):
Li 0.000 0.000 0.000
Li 0.071 0.500 0.815
Li 0.241 0.500 0.499
Li 0.432 0.000 0.149
Li 0.568 0.000 0.851
Li 0.759 0.500 0.501
Li 0.929 0.500 0.185
Mg 0.456 0.500 0.317
Mg 0.544 0.500 0.683
Hg 0.038 0.000 0.648
Hg 0.500 0.500 0.000
Hg 0.962 0.000 0.352

Results
Size of the total moment: 0.00 μB per formula unit
Electronic total energy: -1.6305 eV/atom
Formation energy from the elements: -16.68 kJ per mole of atoms
Space group: No. 10
Volume: 232.78 Å³/cell

***

[3]
DFT (GGA-PBE) results for Li12Mg2Hg after structural relaxation.

a b c (Å): 5.624 5.624 19.563
angles (deg): 90.00 90.00 90.00
Positions (direct):
Li 0.000 0.000 0.101
Li 0.000 0.000 0.899
Li 0.000 0.500 0.101
Li 0.000 0.500 0.899
Li 0.072 0.572 0.436
Li 0.072 0.928 0.564
Li 0.250 0.250 0.207
Li 0.250 0.250 0.338
Li 0.250 0.250 0.662
Li 0.250 0.250 0.793
Li 0.428 0.572 0.564
Li 0.428 0.928 0.436
Li 0.500 0.000 0.101
Li 0.500 0.000 0.899
Li 0.500 0.500 0.101
Li 0.500 0.500 0.899
Li 0.572 0.072 0.564
Li 0.572 0.428 0.436
Li 0.750 0.750 0.207
Li 0.750 0.750 0.338
Li 0.750 0.750 0.662
Li 0.750 0.750 0.793
Li 0.928 0.072 0.436
Li 0.928 0.428 0.564
Mg 0.250 0.750 0.272
Mg 0.250 0.750 0.728
Mg 0.750 0.250 0.272
Mg 0.750 0.250 0.728
Hg 0.250 0.750 0.000
Hg 0.750 0.250 0.000

Results
Size of the total moment: 0.00 μB per formula unit
Electronic total energy: -1.7217 eV/atom
Formation energy from the elements: 4.06 kJ per mole of atoms
Space group: No. 125
Volume: 618.71 Å³/cell

***

[4]
DFT (GGA-PBE) results for Li6Mg2Hg after structural relaxation.

a b c (Å): 8.084 8.084 3.034
angles (deg): 100.53 100.53 68.70
Positions (direct):
Li 0.161 0.471 0.312
Li 0.228 0.772 0.000
Li 0.471 0.161 0.312
Li 0.529 0.839 0.688
Li 0.772 0.228 0.000
Li 0.839 0.529 0.688
Mg 0.130 0.130 0.628
Mg 0.870 0.870 0.372
Hg 0.500 0.500 0.500

Results
Size of the total moment: 0.00 μB per formula unit
Electronic total energy: -1.7611 eV/atom
Formation energy from the elements: -9.39 kJ per mole of atoms
Space group: No. 12
Volume: 180.17 Å³/cell

***

[5]
DFT (GGA-PBE) results for Li2MgHg2 after structural relaxation.

a b c (Å): 7.511 7.511 7.511
angles (deg): 150.54 150.54 42.16
Positions (direct):
Li 0.250 0.750 0.500
Li 0.750 0.250 0.500
Mg 0.000 0.000 0.000
Hg 0.392 0.392 0.000
Hg 0.608 0.608 0.000

Results
Size of the total moment: 0.00 μB per formula unit
Electronic total energy: -1.4202 eV/atom
Formation energy from the elements: -20.75 kJ per mole of atoms
Space group: No. 139
Volume: 102.26 Å³/cell

***

[6]
DFT (GGA-PBE) results for Li4MgHg7 after structural relaxation.

a b c (Å): 4.795 4.795 12.289
angles (deg): 90.00 90.00 120.00
Positions (direct):
Li 0.333 0.667 0.161
Li 0.333 0.667 0.420
Li 0.667 0.333 0.580
Li 0.667 0.333 0.839
Mg 0.000 0.000 0.000
Hg 0.000 0.000 0.239
Hg 0.000 0.000 0.500
Hg 0.000 0.000 0.761
Hg 0.333 0.667 0.651
Hg 0.333 0.667 0.913
Hg 0.667 0.333 0.087
Hg 0.667 0.333 0.349

Results
Size of the total moment: 0.00 μB per formula unit
Electronic total energy: -1.2153 eV/atom
Formation energy from the elements: -25.89 kJ per mole of atoms
Space group: No. 164
Volume: 244.67 Å³/cell

***

- electronic total energy of number 1 (LiMg5Hg4)?
  -1.3118 eV/atom

***

- Which of these has the highest electronic total energy?
  Li4MgHg7